[1]
DFT (SCAN) results for a crystal of ScTlRu2 relaxed with PBEsol.

Cell lengths 3.1770, 4.7606, 5.2461 Å; angles 116.98, 107.63, 90.00 degrees
Element x y z (fractional)
1 Tl 0.5000 0.0000 0.0000
2 Sc 0.0000 0.5000 0.0000
3 Ru 0.2610 0.2610 0.5220
4 Ru 0.7390 0.7390 0.4780

Summary:
density of states at the Fermi level: 3.52 states/eV/f.u.
formation enthalpy at 0 K: 164 meV/atom

=====

[2]
DFT (SCAN) results for a crystal of AcMg5 relaxed with PBEsol.

Cell lengths 4.9725, 6.0940, 6.0940 Å; angles 120.00, 90.00, 90.00 degrees
Element x y z (fractional)
1 Mg 0.0000 0.0000 0.5000
2 Mg 0.0000 0.5000 0.0000
3 Mg 0.5000 0.3333 0.6667
4 Mg 0.0000 0.5000 0.5000
5 Ac 0.5000 0.0000 0.0000
6 Mg 0.5000 0.6667 0.3333

Summary:
density of states at the Fermi level: 2.88 states/eV/f.u.
formation enthalpy at 0 K: -77 meV/atom

=====

[3]
DFT (SCAN) results for a crystal of SnPtF2 relaxed with PBEsol.

Cell lengths 4.3036, 4.3036, 4.3036 Å; angles 60.00, 60.00, 60.00 degrees
Element x y z (fractional)
1 F 0.2500 0.2500 0.2500
2 Sn 0.0000 0.0000 0.0000
3 Pt 0.5000 0.5000 0.5000
4 F 0.7500 0.7500 0.7500

Summary:
energy above the most stable polymorph in this dataset: 0.438 eV/atom
density of states at the Fermi level: 0.68 states/eV/f.u.
ΔE_f (raw): -0.567 eV per atom

=====

[4]
DFT (SCAN) results for a crystal of LiP2NCl relaxed with PBEsol.

Cell lengths 4.3239, 4.3239, 4.3854 Å; angles 90.00, 90.00, 90.00 degrees
Element x y z (fractional)
1 Cl 0.0000 0.0000 0.5000
2 P 0.0000 0.5000 0.0000
3 P 0.5000 0.0000 0.0000
4 Li 0.0000 0.0000 0.0000
5 N 0.5000 0.5000 0.5000

Summary:
density of states at the Fermi level: 2.65 states/eV/f.u.
ΔE_f (raw): 1.491 eV per atom

=====

[5]
DFT (SCAN) results for a crystal of HgH2Rh2 relaxed with PBEsol.

Cell lengths 3.1127, 3.1127, 5.8386 Å; angles 105.46, 105.46, 90.00 degrees
Element x y z (fractional)
1 Rh 0.3404 0.3404 0.6807
2 H 0.7500 0.2500 0.5000
3 H 0.2500 0.7500 0.5000
4 Hg 0.0000 0.0000 0.0000
5 Rh 0.6596 0.6596 0.3193

Summary:
calculated total energy: -28.493 eV per atom
density of states at the Fermi level: 3.49 states/eV/f.u.

=====

[6]
DFT (SCAN) results for a crystal of MoSe3 relaxed with PBEsol.

Cell lengths 2.6044, 3.1961, 9.8225 Å; angles 90.00, 90.03, 90.00 degrees
Element x y z (fractional)
1 Mo 0.0000 0.0000 0.0000
2 Se 0.9991 0.5000 0.7984
3 Se 0.0000 0.0000 0.5000
4 Se 0.0009 0.5000 0.2016

Summary:
density of states at the Fermi level: 2.94 states/eV/f.u.
ΔE_f (raw): 0.160 eV per atom

=====

[7]
DFT (SCAN) results for a crystal of BaMgCd2Mo relaxed with PBEsol.

Cell lengths 5.3788, 5.3788, 5.3221 Å; angles 90.00, 90.00, 90.00 degrees
Element x y z (fractional)
1 Ba 0.0000 0.0000 0.5000
2 Mg 0.5000 0.5000 0.5000
3 Cd 0.5000 0.0000 0.0000
4 Cd 0.0000 0.5000 0.0000
5 Mo 0.0000 0.0000 0.0000

Summary:
density of states at the Fermi level: 2.95 states/eV/f.u.
formation enthalpy at 0 K: 855 meV/atom

=====

[8]
DFT (SCAN) results for a crystal of NiHgSb2Te relaxed with PBEsol.

Cell lengths 5.3795, 5.3795, 5.5204 Å; angles 90.00, 90.00, 90.00 degrees
Element x y z (fractional)
1 Sb 0.5000 0.0000 0.0000
2 Te 0.0000 0.0000 0.5000
3 Sb 0.0000 0.5000 0.0000
4 Ni 0.5000 0.5000 0.5000
5 Hg 0.0000 0.0000 0.0000

Summary:
density of states at the Fermi level: 6.29 states/eV/f.u.
ΔE_f (raw): 1.313 eV per atom

=====

[9]
DFT (SCAN) results for a crystal of K2Rh relaxed with PBEsol.

Cell lengths 4.2740, 6.1370, 9.4522 Å; angles 103.88, 90.00, 110.38 degrees
Element x y z (fractional)
1 K 0.0202 0.0403 0.6660
2 Rh 0.7209 0.4417 0.5270
3 K 0.6762 0.3523 0.1732
4 Rh 0.2791 0.5583 0.4730
5 K 0.3238 0.6477 0.8268
6 K 0.9798 0.9597 0.3340

Summary:
energy above the most stable polymorph in this dataset: 0.000 eV/atom
density of states at the Fermi level: 2.10 states/eV/f.u.
formation enthalpy at 0 K: 346 meV/atom

=====

[10]
DFT (SCAN) results for a crystal of CoTc2Hg relaxed with PBEsol.

Cell lengths 2.6986, 2.6986, 7.8324 Å; angles 90.00, 90.00, 90.00 degrees
Element x y z (fractional)
1 Hg 0.5000 0.5000 0.5000
2 Co 0.5000 0.5000 0.0000
3 Tc 0.0000 0.0000 0.7859
4 Tc 0.0000 0.0000 0.2141

Summary:
density of states at the Fermi level: 3.46 states/eV/f.u.
formation enthalpy at 0 K: 446 meV/atom

=====

[11]
DFT (SCAN) results for a crystal of DyCuGe relaxed with PBEsol.

Cell lengths 3.6703, 4.1530, 4.1530 Å; angles 120.00, 90.00, 90.00 degrees
Element x y z (fractional)
1 Cu 0.5000 0.0000 0.0000
2 Dy 0.0000 0.3333 0.6667
3 Ge 0.5000 0.6667 0.3333

Summary:
density of states at the Fermi level: 1.57 states/eV/f.u.
formation enthalpy at 0 K: -733 meV/atom

=====

[12]
DFT (SCAN) results for a crystal of PbBr2 relaxed with PBEsol.

Cell lengths 7.3573, 7.3573, 7.3573 Å; angles 90.00, 90.00, 90.00 degrees
Element x y z (fractional)
1 Pb 0.5000 0.5000 0.0000
2 Br 0.6543 0.8457 0.1543
3 Pb 0.0000 0.5000 0.5000
4 Br 0.3457 0.1543 0.8457
5 Br 0.3457 0.3457 0.3457
6 Br 0.8457 0.3457 0.1543
7 Br 0.8457 0.1543 0.6543
8 Br 0.1543 0.8457 0.3457
9 Br 0.1543 0.6543 0.8457
10 Br 0.6543 0.6543 0.6543
11 Pb 0.0000 0.0000 0.0000
12 Pb 0.5000 0.0000 0.5000

Summary:
density of states at the Fermi level: 0.00 states/eV/f.u.
ΔE_f (raw): -0.929 eV per atom

=====

no.,density (Mg/m³)
1,11.3
2,3.6
3,10.4
4,2.4
5,12.9
6,6.8
7,5.2
8,6.6
9,2.7
10,13.3
11,9.0
12,6.1